TmReAsO | OQMD via LeMat-Bulk | GGA-PBE | relaxed; crystal system = tetragonal; ΔE to the lowest computed polymorph = 1.642 eV per atom
1.0
-0.1660 -3.6412 -2.3345
4.2885 0.1655 -0.5630
0.8619 -3.5749 5.5147
Tm As O Re
2 2 2 2
direct
0.0000 0.0000 0.5000
0.5000 0.5000 0.5000
0.5000 0.0000 0.7768
0.0000 0.5000 0.2232
0.5000 0.5000 0.0000
0.0000 0.0000 0.0000
0.0000 0.5000 0.8532
0.5000 0.0000 0.1468


GdY2Sn2Pb5 | OQMD via LeMat-Bulk | GGA-PBE | relaxed; crystal system = orthorhombic; ΔE to the lowest computed polymorph = 0.016 eV per atom
1.0
2.2536 -13.4670 0.0000
2.2536 13.4670 0.0000
0.0000 0.0000 4.6134
Gd Pb Y Sn
1 5 2 2
direct
0.0000 0.0000 0.5000
0.4026 0.5974 0.5000
0.5974 0.4026 0.5000
0.2089 0.7911 0.5000
0.5000 0.5000 0.0000
0.7911 0.2089 0.5000
0.6892 0.3108 0.0000
0.3108 0.6892 0.0000
0.9037 0.0963 0.0000
0.0963 0.9037 0.0000


DyErZr2Ge2 | OQMD via LeMat-Bulk | GGA-PBE | relaxed; crystal system = tetragonal; electronic total energy = -6.625 eV/atom
1.0
4.1868 0.0000 0.0000
0.0000 4.1868 0.0000
0.0000 0.0000 7.9036
Dy Zr Ge Er
1 2 2 1
direct
0.0000 0.0000 0.3492
0.5000 0.0000 0.9993
0.0000 0.5000 0.9993
0.5000 0.5000 0.2655
0.0000 0.0000 0.7337
0.5000 0.5000 0.6530


Ta2ZnPd | OQMD via LeMat-Bulk | GGA-PBE | relaxed; crystal system = cubic; electronic total energy = -7.368 eV/atom
1.0
2.5866 2.5049 2.7996
-1.6677 1.3924 4.0104
1.5771 -1.8103 3.8779
Ta Zn Pd
2 1 1
direct
0.0000 0.0000 0.0000
0.2500 0.2500 0.2500
0.5000 0.5000 0.5000
0.7500 0.7500 0.7500


LuZrTlTe3 | OQMD via LeMat-Bulk | GGA-PBE | relaxed; crystal system = monoclinic; ΔE to the lowest computed polymorph = 0.000 eV per atom
1.0
8.6023 0.0000 0.0000
0.0000 4.4910 0.0000
-4.1593 0.0000 10.0757
Te Lu Zr Tl
6 2 2 2
direct
0.8095 0.2500 0.8320
0.7846 0.7500 0.5402
0.1905 0.7500 0.1680
0.2154 0.2500 0.4598
0.7059 0.7500 0.1338
0.2941 0.2500 0.8662
0.9439 0.2500 0.1288
0.0561 0.7500 0.8712
0.9976 0.7500 0.3872
0.0024 0.2500 0.6128
0.5469 0.2500 0.2892
0.4531 0.7500 0.7108


KGa2Au2 | OQMD via LeMat-Bulk | GGA-PBE | relaxed; crystal system = tetragonal; ΔE to the lowest computed polymorph = 0.000 eV per atom
1.0
-2.9247 -2.7069 2.5902
-0.9877 -2.6126 -3.8457
7.7342 -6.2163 2.2366
Au Ga K
4 4 2
direct
0.0000 0.5000 0.8758
0.5000 0.0000 0.1242
0.0000 0.0000 0.5000
0.5000 0.5000 0.5000
0.5000 0.0000 0.3832
0.0000 0.0000 0.0000
0.0000 0.5000 0.6168
0.5000 0.5000 0.0000
0.0000 0.5000 0.2530
0.5000 0.0000 0.7470


LaMgCoSn | OQMD via LeMat-Bulk | GGA-PBE | relaxed; crystal system = cubic; ΔE to the lowest computed polymorph = 0.182 eV per atom
1.0
2.2533 -4.3144 0.9287
-1.4248 -4.1030 -2.3851
2.9591 -2.0350 -3.4141
Sn La Mg Co
1 1 1 1
direct
0.2500 0.2500 0.2500
0.5000 0.5000 0.5000
0.7500 0.7500 0.7500
0.0000 0.0000 0.0000


Zr4PPbN2 | OQMD via LeMat-Bulk | GGA-PBE | relaxed; crystal system = hexagonal; electronic total energy = -8.710 eV/atom
1.0
3.3850 0.0000 0.0000
-1.6925 2.9315 0.0000
0.0000 0.0000 13.4198
Pb N Zr P
1 2 4 1
direct
0.6667 0.3333 0.5000
0.3333 0.6667 0.2276
0.3333 0.6667 0.7724
0.0000 0.0000 0.3159
0.0000 0.0000 0.6841
0.6667 0.3333 0.1331
0.6667 0.3333 0.8669
0.0000 0.0000 0.0000


Question: Which formula does entry 8 have?
Answer: Zr4PPbN2